No. 1
DFT (PBE-GGA) results for a relaxed BaSc2Br crystal.

a = 5.641 Å, b = 5.641 Å, c = 5.641 Å
α = 60.00°, β = 60.00°, γ = 60.00°
Site moments in Bohr magnetons follow the coordinates.
Element x y z (fractional)
Ba (0.500, 0.500, 0.500)  0.09
Br (0.750, 0.750, 0.750)  0.01
Sc (0.000, 0.000, 0.000)  0.65
Sc (0.250, 0.250, 0.250)  0.79

## Properties
Uncorrected formation energy   133 meV per atom
Size of the total moment   2.633 μB/cell
Excess energy over the best structure of this formula in the dataset   12.08 kcal/mol of atoms
Space group   F-43m, No. 216

No. 2
DFT (PBE-GGA) results for a relaxed Si2HgTeSe crystal.

a = 5.113 Å, b = 5.210 Å, c = 5.113 Å
α = 90.00°, β = 90.00°, γ = 90.00°
Element x y z (fractional)
Si (0.000, 0.000, 0.500)
Si (0.500, 0.000, 0.000)
Te (0.500, 0.500, 0.500)
Hg (0.000, 0.000, 0.000)
Se (0.000, 0.500, 0.000)

## Properties
Uncorrected formation energy   1011 meV per atom
Size of the total moment   0.000 μB/cell
Space group   P4/mmm, No. 123

No. 3
DFT (PBE-GGA) results for a relaxed Zr2WSe crystal.

a = 4.535 Å, b = 3.421 Å, c = 5.335 Å
α = 71.35°, β = 90.00°, γ = 90.00°
Element x y z (fractional)
Se (0.000, 0.706, 0.455)
W (0.500, 0.546, 0.809)
Zr (0.000, 0.991, 0.901)
Zr (0.500, 0.258, 0.335)

## Properties
Uncorrected formation energy   -350 meV per atom
Size of the total moment   0.000 μB/cell
Space group   Pm, No. 6

No. 4
DFT (PBE-GGA) results for a relaxed AcSmBi2 crystal.

a = 3.566 Å, b = 6.113 Å, c = 6.113 Å
α = 90.00°, β = 90.00°, γ = 90.00°
Element x y z (fractional)
Ac (0.500, 0.500, 0.500)
Bi (0.000, 0.000, 0.500)
Bi (0.000, 0.500, 0.000)
Sm (0.500, 0.000, 0.000)

## Properties
Formation energy from the elements   -0.7206 eV per atom
Size of the total moment   0.003 μB/cell
Excess energy over the best structure of this formula in the dataset   5.35 kcal/mol of atoms
Space group   P4/mmm, No. 123

No. 5
DFT (PBE-GGA) results for a relaxed BaMg2In2 crystal.

a = 9.213 Å, b = 9.213 Å, c = 3.385 Å
α = 90.00°, β = 90.00°, γ = 90.00°
Element x y z (fractional)
Mg (0.147, 0.647, 0.500)
Mg (0.647, 0.853, 0.500)
Mg (0.853, 0.353, 0.500)
Mg (0.353, 0.147, 0.500)
Ba (0.000, 0.000, 0.000)
Ba (0.500, 0.500, 0.000)
In (0.358, 0.858, 0.000)
In (0.858, 0.642, 0.000)
In (0.642, 0.142, 0.000)
In (0.142, 0.358, 0.000)

## Properties
Formation energy from the elements   -0.1415 eV per atom
Size of the total moment   0.000 μB/cell
Space group   P4/mbm, No. 127

No. 6
DFT (PBE-GGA) results for a relaxed FeNiMo2 crystal.

a = 4.565 Å, b = 4.565 Å, c = 4.565 Å
α = 131.17°, β = 131.18°, γ = 71.53°
Site moments in Bohr magnetons follow the coordinates.
Element x y z (fractional)
Fe (0.250, 0.750, 0.500)  0.57
Mo (0.000, 0.000, 0.000)  -0.08
Mo (0.500, 0.500, 0.000)  -0.08
Ni (0.750, 0.250, 0.500)  -0.08

## Properties
Formation energy from the elements   0.0571 eV per atom
Size of the total moment   0.320 μB/cell
Excess energy over the best structure of this formula in the dataset   0.13 kcal/mol of atoms
Space group   I4/mmm, No. 139

No. 7
DFT (PBE-GGA) results for a relaxed CaHo2 crystal.

a = 3.618 Å, b = 3.618 Å, c = 8.161 Å
α = 102.81°, β = 102.81°, γ = 90.00°
Element x y z (fractional)
Ca (0.000, 0.000, 0.000)
Ho (0.677, 0.677, 0.354)
Ho (0.323, 0.323, 0.646)

## Properties
Formation energy from the elements   0.0736 eV per atom
Size of the total moment   0.000 μB/cell
Excess energy over the best structure of this formula in the dataset   0.00 kcal/mol of atoms
Space group   I4/mmm, No. 139

No. 8
DFT (PBE-GGA) results for a relaxed Ti3TlV crystal.

a = 4.618 Å, b = 4.618 Å, c = 4.618 Å
α = 90.00°, β = 90.00°, γ = 90.00°
Site moments in Bohr magnetons follow the coordinates.
Element x y z (fractional)
Tl (0.500, 0.500, 0.500)  0.00
V (0.000, 0.000, 0.000)  -0.01
Ti (0.000, 0.500, 0.000)  0.22
Ti (0.000, 0.000, 0.500)  0.22
Ti (0.500, 0.000, 0.000)  0.22

## Properties
Formation energy from the elements   0.6167 eV per atom
Size of the total moment   0.900 μB/cell
Excess energy over the best structure of this formula in the dataset   12.21 kcal/mol of atoms
Space group   Pm-3m, No. 221

No. 9
DFT (PBE-GGA) results for a relaxed H6PdIN2 crystal.

a = 7.144 Å, b = 7.144 Å, c = 7.917 Å
α = 99.40°, β = 99.40°, γ = 132.85°
Site moments in Bohr magnetons follow the coordinates.
Element x y z (fractional)
H (0.039, 0.420, 0.392)  0.00
H (0.580, 0.961, 0.108)  0.00
H (0.961, 0.580, 0.608)  0.00
H (0.420, 0.039, 0.892)  0.00
H (0.179, 0.307, 0.406)  0.00
H (0.693, 0.821, 0.094)  0.00
H (0.821, 0.693, 0.594)  0.00
H (0.307, 0.179, 0.906)  0.00
H (0.363, 0.625, 0.415)  0.00
H (0.375, 0.637, 0.085)  0.00
H (0.637, 0.375, 0.585)  0.00
H (0.625, 0.363, 0.915)  0.00
Pd (0.633, 0.367, 0.250)  0.27
Pd (0.367, 0.633, 0.750)  0.27
I (0.123, 0.877, 0.250)  0.07
I (0.877, 0.123, 0.750)  0.07
N (0.476, 0.216, 0.956)  0.02
N (0.784, 0.524, 0.544)  0.02
N (0.524, 0.784, 0.044)  0.02
N (0.216, 0.476, 0.456)  0.02

## Properties
Size of the total moment   0.900 μB/cell
Space group   C2/c, No. 15
Energy   -4.674 eV per atom

No. 10
DFT (PBE-GGA) results for a relaxed LaHf2Ni2 crystal.

a = 7.650 Å, b = 7.650 Å, c = 3.355 Å
α = 90.00°, β = 90.00°, γ = 90.00°
Element x y z (fractional)
Ni (0.382, 0.882, 0.000)
Ni (0.882, 0.618, 0.000)
Ni (0.618, 0.118, 0.000)
Ni (0.118, 0.382, 0.000)
Hf (0.153, 0.653, 0.500)
Hf (0.653, 0.847, 0.500)
Hf (0.847, 0.347, 0.500)
Hf (0.347, 0.153, 0.500)
La (0.000, 0.000, 0.000)
La (0.500, 0.500, 0.000)

## Properties
Formation energy from the elements   -0.1602 eV per atom
Size of the total moment   0.000 μB/cell
Excess energy over the best structure of this formula in the dataset   2.67 kcal/mol of atoms
Space group   P4/mbm, No. 127

No. 11
DFT (PBE-GGA) results for a relaxed Tc2NiW crystal.

a = 6.881 Å, b = 6.881 Å, c = 5.517 Å
α = 51.42°, β = 51.42°, γ = 90.00°
Element x y z (fractional)
Ni (0.500, 0.500, 0.000)
Ni (0.250, 0.750, 0.500)
Tc (0.624, 0.125, 0.250)
Tc (0.126, 0.625, 0.250)
Tc (0.375, 0.376, 0.750)
Tc (0.875, 0.874, 0.750)
W (0.000, 0.000, 0.000)
W (0.750, 0.250, 0.500)

## Properties
Formation energy from the elements   0.7559 eV per atom
Size of the total moment   0.000 μB/cell
Excess energy over the best structure of this formula in the dataset   17.77 kcal/mol of atoms
Space group   I-42d, No. 122

No. 12
DFT (PBE-GGA) results for a relaxed PmNdTlGa crystal.

a = 3.737 Å, b = 3.737 Å, c = 7.804 Å
α = 90.00°, β = 90.00°, γ = 90.00°
Element x y z (fractional)
Pm (0.500, 0.500, 0.590)
Nd (0.500, 0.500, 0.124)
Tl (0.000, 0.000, 0.855)
Ga (0.000, 0.000, 0.359)

## Properties
Formation energy from the elements   -0.4726 eV per atom
Size of the total moment   0.000 μB/cell
Excess energy over the best structure of this formula in the dataset   0.00 kcal/mol of atoms
Space group   P4mm, No. 99

- Look up the size of the total moment of the fifth one.
  0.000 μB/cell

- What is the size of the total moment in the second record?
  0.000 μB/cell

Repeat the third record exactly.
DFT (PBE-GGA) results for a relaxed Zr2WSe crystal.

a = 4.535 Å, b = 3.421 Å, c = 5.335 Å
α = 71.35°, β = 90.00°, γ = 90.00°
Element x y z (fractional)
Se (0.000, 0.706, 0.455)
W (0.500, 0.546, 0.809)
Zr (0.000, 0.991, 0.901)
Zr (0.500, 0.258, 0.335)

## Properties
Uncorrected formation energy   -350 meV per atom
Size of the total moment   0.000 μB/cell
Space group   Pm, No. 6

- Number 8 is which compound?
  Ti3TlV